[1]
Here is a relaxed structure of CuGe2P3 from the Alexandria database. Energies are from PBE-GGA.

Calculated values
SG: Cc, No. 9
formation energy: -0.095 eV per atom
E_tot: -5.021 eV per atom
magnetization: 0.0 μB per formula unit

```
CuGe2P3
1.0
3.2998 -5.7288 0.0000
3.2998 5.7288 0.0000
-2.1792 0.0000 6.2535
Cu Ge P
2 4 6
Cartesian
2.2102 4.7619 3.1268
3.2998 -4.7619 0.0000
3.2677 2.8915 0.0426
2.3166 0.9403 3.1784
3.4062 -0.9403 0.0517
2.1781 -2.8915 3.1694
1.1609 2.8997 3.8970
2.1331 0.9415 0.7898
1.0435 -0.9415 3.9166
2.2505 -2.8997 0.7703
4.4919 0.8896 3.9871
5.5815 -0.8896 0.8604
```

[2]
Here is a relaxed structure of CdSiPdO4 from the Alexandria database. Energies are from PBE-GGA.

Calculated values
SG: Cmcm, No. 63
E_tot: -5.897 eV per atom
magnetization: 0.0 μB per formula unit
ΔE_f (raw): -9.91 eV per formula unit

```
CdSiPdO4
1.0
2.9447 -4.4038 0.0000
2.9447 4.4038 0.0000
0.0000 0.0000 6.7140
Cd Si Pd O
2 2 2 8
Cartesian
0.0000 0.0000 0.0000
0.0000 0.0000 3.3570
2.9447 1.1613 5.0355
2.9447 -1.1613 1.6785
2.9447 1.8230 1.6785
2.9447 -1.8230 5.0355
1.6141 0.1532 5.0355
2.9447 2.1123 3.7004
2.9447 2.1123 6.3706
1.6141 -0.1532 1.6785
4.2752 0.1532 5.0355
2.9447 -2.1123 0.3434
2.9447 -2.1123 3.0136
4.2752 -0.1532 1.6785
```

[3]
Here is a relaxed structure of PrAl2Ni5 from the Alexandria database. Energies are from PBE-GGA.

Calculated values
SG: Immm, No. 71
formation energy: -0.353 eV per atom
E_tot: -5.499 eV per atom
magnetization: 0.0 μB per formula unit

```
PrAl2Ni5
1.0
-1.8618 3.3050 4.7938
1.8618 -3.3050 4.7938
1.8618 3.3050 -4.7938
Pr Al Ni
1 2 5
Cartesian
0.0000 0.0000 0.0000
1.8618 0.0000 2.4933
0.0000 3.3050 2.3005
1.8618 2.0696 -1.3029
1.8618 2.0696 1.3029
0.0000 3.3050 0.0000
0.0000 1.2354 3.4908
0.0000 1.2354 6.0967
```

[4]
Here is a relaxed structure of HgAu6 from the Alexandria database. Energies are from PBE-GGA.

Calculated values
SG: P4/mmm, No. 123
excess energy over the best structure of this formula in the dataset: 38 meV per atom
formation energy: 0.094 eV per atom
E_tot: -2.758 eV per atom
magnetization: 0.0 μB per formula unit

```
HgAu6
1.0
4.1234 0.0000 0.0000
0.0000 4.1234 0.0000
0.0000 0.0000 8.2456
Hg Au
1 6
Cartesian
0.0000 0.0000 0.0000
0.0000 0.0000 4.1228
0.0000 2.0617 2.1948
0.0000 2.0617 6.0508
2.0617 0.0000 2.1948
2.0617 0.0000 6.0508
2.0617 2.0617 0.0000
```

[5]
Here is a relaxed structure of Zr3CrSe from the Alexandria database. Energies are from PBE-GGA.

Calculated values
SG: Pm-3m, No. 221
excess energy over the best structure of this formula in the dataset: 0 meV per atom
E_tot: -7.521 eV per atom
magnetization: 3.6 μB per formula unit
ΔE_f (raw): 1.15 eV per formula unit

```
Zr3CrSe
1.0
4.9803 0.0000 0.0000
0.0000 4.9803 0.0000
0.0000 0.0000 4.9803
Zr Cr Se
3 1 1
Cartesian
0.0000 0.0000 2.4902
0.0000 2.4902 0.0000
2.4902 0.0000 0.0000
2.4902 2.4902 2.4902
0.0000 0.0000 0.0000
```

[6]
Here is a relaxed structure of AcDyCl6 from the Alexandria database. Energies are from PBE-GGA.

Calculated values
SG: R-3, No. 148
E_tot: -4.797 eV per atom
magnetization: 0.0 μB per formula unit
ΔE_f (raw): -18.59 eV per formula unit

```
AcDyCl6
1.0
3.4816 2.0101 6.4144
-3.4816 2.0101 6.4144
0.0000 -4.0203 6.4144
Ac Dy Cl
1 1 6
Cartesian
0.0000 0.0000 0.0000
0.0000 0.0000 9.6216
-2.1673 0.0374 8.0877
-1.1161 -1.8582 11.1554
1.0512 -1.8957 8.0877
-1.0512 1.8957 11.1554
1.1161 1.8582 8.0877
2.1673 -0.0374 11.1554
```

[7]
Here is a relaxed structure of MnCr3I from the Alexandria database. Energies are from PBE-GGA.

Calculated values
SG: Pm-3m, No. 221
E_tot: -6.830 eV per atom
magnetization: 8.0 μB per formula unit
ΔE_f (raw): 5.44 eV per formula unit

```
MnCr3I
1.0
4.6578 0.0000 0.0000
0.0000 4.6578 0.0000
0.0000 0.0000 4.6578
Mn Cr I
1 3 1
Cartesian
0.0000 0.0000 0.0000
0.0000 0.0000 2.3289
0.0000 2.3289 0.0000
2.3289 0.0000 0.0000
2.3289 2.3289 2.3289
```

[8]
Here is a relaxed structure of LiTl2W from the Alexandria database. Energies are from PBE-GGA.

Calculated values
SG: Immm, No. 71
excess energy over the best structure of this formula in the dataset: 324 meV per atom
formation energy: 0.807 eV per atom
E_tot: -4.093 eV per atom
magnetization: 0.0 μB per formula unit

```
LiTl2W
1.0
-1.5353 2.7362 4.7702
1.5353 -2.7362 4.7702
1.5353 2.7362 -4.7702
Li Tl W
1 2 1
Cartesian
0.0000 0.0000 0.0000
1.5353 0.0000 2.2375
0.0000 2.7362 2.5328
0.0000 0.0000 4.7702
```

[9]
Here is a relaxed structure of Pr2SmDy3Se6 from the Alexandria database. Energies are from PBE-GGA.

Calculated values
SG: C2/m, No. 12
E_tot: -5.879 eV per atom
magnetization: 0.0 μB per formula unit
ΔE_f (raw): -21.55 eV per formula unit

```
Pr2SmDy3Se6
1.0
9.1021 -2.0567 0.0000
9.1021 2.0567 0.0000
-2.1364 0.0000 8.1314
Pr Sm Dy Se
2 1 3 6
Cartesian
2.3304 0.0000 2.7175
13.7374 0.0000 5.4139
9.1021 0.0000 0.0000
1.2808 0.0000 6.7763
8.0339 0.0000 4.0657
14.7869 0.0000 1.3551
-1.5165 0.0000 6.0638
4.0614 0.0000 7.5452
5.2740 0.0000 3.3101
10.7937 0.0000 4.8213
12.0063 0.0000 0.5862
17.5843 0.0000 2.0676
```

[10]
Here is a relaxed structure of Ce3ThU2N6 from the Alexandria database. Energies are from PBE-GGA.

Calculated values
SG: C2/m, No. 12
E_tot: -9.615 eV per atom
magnetization: 0.0 μB per formula unit
ΔE_f (raw): -17.63 eV per formula unit

```
Ce3ThU2N6
1.0
3.0657 -5.3009 0.0000
3.0657 5.3009 0.0000
-2.0459 0.0000 5.7725
Ce Th U N
3 1 2 6
Cartesian
0.0000 0.0000 0.0000
3.0657 1.7502 0.0000
3.0657 -1.7502 0.0000
2.0428 0.0000 2.8862
2.0428 3.5310 2.8862
2.0428 -3.5310 2.8862
0.9576 1.8753 1.5806
-0.1339 0.0000 4.1637
0.9576 -1.8753 1.5806
3.1280 1.8753 4.1919
4.2195 0.0000 1.6088
3.1280 -1.8753 4.1919
```

[11]
Here is a relaxed structure of Ba6N3Cl2 from the Alexandria database. Energies are from PBE-GGA.

Calculated values
SG: C2/m, No. 12
E_tot: -4.689 eV per atom
magnetization: 1.0 μB per formula unit
ΔE_f (raw): -11.38 eV per formula unit

```
Ba6N3Cl2
1.0
3.5898 -6.2168 0.0000
3.5898 6.2168 0.0000
-2.3974 0.0000 7.6300
Ba N Cl
6 3 2
Cartesian
-0.0086 2.0636 6.1395
1.1863 0.0000 1.4968
-0.0086 -2.0636 6.1395
4.7908 2.0636 1.4906
3.5959 0.0000 6.1333
4.7908 -2.0636 1.4906
3.5898 4.1364 0.0000
3.5898 0.0000 0.0000
3.5898 -4.1364 0.0000
2.3911 2.0701 3.8150
2.3911 -2.0701 3.8150
```

[12]
Here is a relaxed structure of Si3PdRu from the Alexandria database. Energies are from PBE-GGA.

Calculated values
SG: Pm-3m, No. 221
excess energy over the best structure of this formula in the dataset: 0 meV per atom
E_tot: -5.732 eV per atom
magnetization: 0.0 μB per formula unit
ΔE_f (raw): 2.08 eV per formula unit

```
Si3PdRu
1.0
4.5704 0.0000 0.0000
0.0000 4.5704 0.0000
0.0000 0.0000 4.5704
Si Pd Ru
3 1 1
Cartesian
0.0000 0.0000 2.2852
0.0000 2.2852 0.0000
2.2852 0.0000 0.0000
2.2852 2.2852 2.2852
0.0000 0.0000 0.0000
```